CdAg after structural relaxation, computed with PBEsol.

Lattice parameters (Å, degrees): 2.9695 5.0226 5.5488 114.22 105.52 90.00
Fractional positions:
Cd: 0.6211 0.7960 0.2422
Cd: 0.3789 0.2040 0.7578
Ag: 0.8714 0.7007 0.7428
Ag: 0.1286 0.2993 0.2572

D(E_F) = 1.063 states/eV per cell
DFT total energy = -2.32 eV/atom
ΔE_f = -0.07 eV per atom

Cd2Ag after structural relaxation, computed with PBEsol.

Lattice parameters (Å, degrees): 8.7149 8.7149 8.7149 60.00 60.00 60.00
Fractional positions:
Ag: 0.9790 0.3403 0.3403
Ag: 0.9097 0.9097 0.9097
Ag: 0.9097 0.2710 0.9097
Ag: 0.3403 0.9790 0.3403
Ag: 0.3403 0.3403 0.9790
Ag: 0.2710 0.9097 0.9097
Ag: 0.9097 0.9097 0.2710
Ag: 0.3403 0.3403 0.3403
Cd: 0.3141 0.6859 0.3141
Cd: 0.1250 0.1250 0.1250
Cd: 0.9359 0.5641 0.5641
Cd: 0.5641 0.5641 0.9359
Cd: 0.5641 0.9359 0.5641
Cd: 0.6859 0.6859 0.3141
Cd: 0.1250 0.6250 0.1250
Cd: 0.9359 0.5641 0.9359
Cd: 0.6859 0.3141 0.6859
Cd: 0.9359 0.9359 0.5641
Cd: 0.3141 0.3141 0.6859
Cd: 0.6250 0.1250 0.1250
Cd: 0.5641 0.9359 0.9359
Cd: 0.1250 0.1250 0.6250
Cd: 0.3141 0.6859 0.6859
Cd: 0.6859 0.3141 0.3141

D(E_F) = 5.976 states/eV per cell
Excess energy over the best structure of this formula in the dataset = 58 meV per atom
DFT total energy = -1.91 eV/atom
ΔE_f = -0.01 eV per atom

Number 2 is which compound? Cd2Ag